w | # K2CoCl

A relaxed K2CoCl crystal (PBEsol, Alexandria via LeMat-Bulk).

abc: 5.2572 3.9203 11.9675
angles: 90.00 90.00 90.00
Closest atoms and distances in Å follow each position.
Space group Amm2 (No. 38)
Symmetry-distinct sites (fractional):
K 0.0000 0.0000 0.0000 (multiplicity 2)  3 Co 3.23-3.38, 4 Cl 3.29
K 0.5000 0.0000 0.2429 (multiplicity 2)  4 Co 3.28, 3 Cl 3.31-3.32
Co 0.0000 0.0000 0.7305 (multiplicity 2)  7 K 3.23-3.38
Cl 0.5000 0.0000 0.5193 (multiplicity 2)  7 K 3.29-3.32, 2 Co 3.65

Values from the calculation:
Its total magnetization is 4.0 Bohr magnetons per cell.

=====

x | # K2CoCl

A relaxed K2CoCl crystal (PBEsol, Alexandria via LeMat-Bulk).

abc: 6.4252 6.4326 6.4979
angles: 90.00 90.00 90.00
Closest atoms and distances in Å follow each position.
Space group Cmmm (No. 65)
Symmetry-distinct sites (fractional):
K 0.0000 0.0000 0.0000 (multiplicity 2)  4 Cl 3.21-3.22, 2 Co 3.25
K 0.0000 0.5000 0.5000 (multiplicity 2)  4 Co 3.21-3.22, 2 Cl 3.25
Co 0.0000 0.0000 0.5000 (multiplicity 2)  6 K 3.21-3.25
Cl 0.0000 0.5000 0.0000 (multiplicity 2)  6 K 3.21-3.25

Values from the calculation:
Its total magnetization is 4.0 Bohr magnetons per cell.

=====

Most stable = w

=====

w | # La2CoCl

A relaxed La2CoCl crystal (PBEsol, Alexandria via LeMat-Bulk).

abc: 3.9473 3.9473 22.4343
angles: 90.00 90.00 120.00
Closest atoms and distances in Å follow each position.
Space group R-3m (No. 166, hexagonal axes)
Symmetry-distinct sites (fractional):
La 0.0000 0.0000 0.2343 (multiplicity 6)  3 Co 2.74
Co 0.0000 0.0000 0.5000 (multiplicity 3)  6 La 2.74
Cl 0.0000 0.0000 0.0000 (multiplicity 3)  6 La 3.18

Values from the calculation:
Its total magnetization is 0.0 Bohr magnetons per cell.

=====

x | # La2CoCl

A relaxed La2CoCl crystal (PBEsol, Alexandria via LeMat-Bulk).

abc: 3.9205 3.9205 11.4717
angles: 90.00 90.00 90.00
Closest atoms and distances in Å follow each position.
Space group I-4m2 (No. 119)
Symmetry-distinct sites (fractional):
La 0.0000 0.0000 0.0000 (multiplicity 2)  4 Cl 2.77
La 0.0000 0.5000 0.2500 (multiplicity 2)  4 Co 2.77
Co 0.0000 0.5000 0.7500 (multiplicity 2)  4 La 2.77
Cl 0.0000 0.0000 0.5000 (multiplicity 2)  4 La 2.77

Values from the calculation:
Its total magnetization is 0.0 Bohr magnetons per cell.

=====

Most stable = w